Record 1
{
  "formula": "Nb2Cd2Ga",
  "functional": "PBE",
  "state": "relaxed",
  "lattice_angstrom": [[6.8335, 0.0000, 0.0000], [0.0000, 6.8335, 0.0000], [0.0000, 0.0000, 4.4128]],
  "species": ["Nb", "Nb", "Nb", "Nb", "Cd", "Cd", "Cd", "Cd", "Ga", "Ga"],
  "frac_coords": [[0.1411, 0.3589, 0.0000], [0.3589, 0.8589, 0.0000], [0.6411, 0.1411, 0.0000], [0.8589, 0.6411, 0.0000], [0.1613, 0.6613, 0.5000], [0.3387, 0.1613, 0.5000], [0.6613, 0.8387, 0.5000], [0.8387, 0.3387, 0.5000], [0.0000, 0.0000, 0.0000], [0.5000, 0.5000, 0.0000]],
  "m_tot_mub_per_cell": 1.2,
  "sg": "P4/mbm (127)",
  "delta_e_f_ev_per_atom": 0.299,
  "mass_density_g_cm3": 7.74
}

Record 2
{
  "formula": "NbCd2Ga",
  "functional": "PBE",
  "state": "relaxed",
  "lattice_angstrom": [[7.6838, 0.0000, 0.0000], [0.0000, 7.6838, 0.0000], [0.0000, 0.0000, 5.5574]],
  "species": ["Nb", "Nb", "Nb", "Nb", "Cd", "Cd", "Cd", "Cd", "Cd", "Cd", "Cd", "Cd", "Ga", "Ga", "Ga", "Ga"],
  "frac_coords": [[0.0000, 0.0000, 0.0000], [0.0000, 0.5000, 0.2500], [0.5000, 0.0000, 0.7500], [0.5000, 0.5000, 0.5000], [0.2263, 0.2500, 0.6250], [0.2500, 0.7263, 0.8750], [0.2500, 0.7737, 0.3750], [0.2737, 0.2500, 0.1250], [0.7263, 0.7500, 0.1250], [0.7500, 0.2263, 0.3750], [0.7500, 0.2737, 0.8750], [0.7737, 0.7500, 0.6250], [0.0000, 0.0000, 0.5000], [0.0000, 0.5000, 0.7500], [0.5000, 0.0000, 0.2500], [0.5000, 0.5000, 0.0000]],
  "m_tot_mub_per_cell": 0.0,
  "sg": "I-42d (122)",
  "delta_e_f_ev_per_atom": 0.373,
  "mass_density_g_cm3": 7.84
}